{
  "formula": "AcNdY14",
  "functional": "PBE-GGA",
  "state": "optimized geometry",
  "dft_energy_ev_per_atom": -6.19,
  "rho_g_cm3": 5.07,
  "formation_enthalpy_0k_ev_per_fu": 0.26,
  "crystal_system": "orthorhombic",
  "lattice": [[11.6451, 0.0000, 0.0000], [0.0000, 3.6305, 6.2640], [0.0000, -3.6305, 6.2640]],
  "species": ["Ac", "Nd", "Y", "Y", "Y", "Y", "Y", "Y", "Y", "Y", "Y", "Y", "Y", "Y", "Y", "Y"],
  "fractional_positions": [[0.0000, 0.0000, 0.0000], [0.0000, 0.5007, 0.5007], [0.0000, 0.0018, 0.5001], [0.0000, 0.5001, 0.0018], [0.2509, 0.6678, 0.6678], [0.2546, 0.1686, 0.1686], [0.2559, 0.1686, 0.6654], [0.2559, 0.6654, 0.1686], [0.5000, 0.3346, 0.3346], [0.5000, 0.3364, 0.8343], [0.5000, 0.8343, 0.3364], [0.5000, 0.8339, 0.8339], [0.7441, 0.1686, 0.6654], [0.7441, 0.6654, 0.1686], [0.7454, 0.1686, 0.1686], [0.7491, 0.6678, 0.6678]]
}